1.
VASP calculation (SCAN) on a crystal of SrZrH3 relaxed with PBEsol.

Lattice parameters (Å, degrees): 4.0468 4.0468 4.0468 90.00 90.00 90.00
Last column: nearest neighbours and their distance in Å.
Sites, in units of the cell vectors:
Sr 0.0000 0.0000 0.0000  12 H 2.86
Zr 0.5000 0.5000 0.5000  6 H 2.02
H 0.0000 0.5000 0.5000  2 Zr 2.02
H 0.5000 0.0000 0.5000  2 Zr 2.02
H 0.5000 0.5000 0.0000  2 Zr 2.02

Results
total DFT energy (no corrections)	-12.982	eV per atom



2.
VASP calculation (SCAN) on a crystal of LaCdRe3 relaxed with PBEsol.

Lattice parameters (Å, degrees): 4.8573 4.8573 4.8573 90.00 90.00 90.00
Last column: nearest neighbours and their distance in Å.
Sites, in units of the cell vectors:
La 0.0000 0.0000 0.0000  12 Re 3.43
Cd 0.5000 0.5000 0.5000  6 Re 2.43
Re 0.0000 0.5000 0.5000  2 Cd 2.43
Re 0.5000 0.0000 0.5000  2 Cd 2.43
Re 0.5000 0.5000 0.0000  2 Cd 2.43

Results
DFT formation energy	2459.6	meV per atom



3.
VASP calculation (SCAN) on a crystal of CaReSi2 relaxed with PBEsol.

Lattice parameters (Å, degrees): 4.0171 3.2205 10.1174 90.00 90.00 90.00
Last column: nearest neighbours and their distance in Å.
Sites, in units of the cell vectors:
Ca 0.0000 0.0000 0.0000  7 Si 2.67-2.88
Ca 0.0000 0.5000 0.5000  7 Si 2.67-2.88
Re 0.5000 0.0000 0.2926  6 Si 2.49-2.64
Re 0.5000 0.5000 0.7926  6 Si 2.49-2.64
Si 0.0000 0.0000 0.7364  2 Si 2.41, 4 Re 2.64, 1 Ca 2.67
Si 0.0000 0.5000 0.2364  2 Si 2.41, 4 Re 2.64, 1 Ca 2.67
Si 0.5000 0.0000 0.6053  2 Si 2.41, 2 Re 2.49
Si 0.5000 0.5000 0.1053  2 Si 2.41, 2 Re 2.49

Results
E_form (uncorrected)	0.048	eV/atom



4.
VASP calculation (SCAN) on a crystal of Cu3PSe3 relaxed with PBEsol.

Lattice parameters (Å, degrees): 7.8755 10.2531 6.5206 90.00 90.00 90.00
Last column: nearest neighbours and their distance in Å.
Sites, in units of the cell vectors:
Cu 0.1137 0.0473 0.2328  3 Se 2.33-2.39, 1 Cu 2.50
Cu 0.1137 0.4527 0.2328  3 Se 2.33-2.39, 1 Cu 2.50
Cu 0.2204 0.2500 0.0618  4 Se 2.42-2.56, 2 Cu 2.50
Cu 0.2796 0.7500 0.5618  4 Se 2.42-2.56, 2 Cu 2.50
Cu 0.3863 0.5473 0.7328  3 Se 2.33-2.39, 1 Cu 2.50
Cu 0.3863 0.9527 0.7328  3 Se 2.33-2.39, 1 Cu 2.50
Cu 0.6137 0.0473 0.2672  3 Se 2.33-2.39, 1 Cu 2.50
Cu 0.6137 0.4527 0.2672  3 Se 2.33-2.39, 1 Cu 2.50
Cu 0.7204 0.2500 0.4382  4 Se 2.42-2.56, 2 Cu 2.50
Cu 0.7796 0.7500 0.9382  4 Se 2.42-2.56, 2 Cu 2.50
Cu 0.8863 0.5473 0.7672  3 Se 2.33-2.39, 1 Cu 2.50
Cu 0.8863 0.9527 0.7672  3 Se 2.33-2.39, 1 Cu 2.50
P 0.2218 0.2500 0.6362  3 Se 2.32-2.35
P 0.2782 0.7500 0.1362  3 Se 2.32-2.35
P 0.7218 0.2500 0.8638  3 Se 2.32-2.35
P 0.7782 0.7500 0.3638  3 Se 2.32-2.35
Se 0.0230 0.2500 0.3730  1 P 2.32, 4 Cu 2.38-2.56
Se 0.1449 0.0676 0.8346  3 Cu 2.33-2.46, 1 P 2.35
Se 0.1449 0.4324 0.8346  3 Cu 2.33-2.46, 1 P 2.35
Se 0.3551 0.5676 0.3346  3 Cu 2.33-2.46, 1 P 2.35
Se 0.3551 0.9324 0.3346  3 Cu 2.33-2.46, 1 P 2.35
Se 0.4770 0.7500 0.8730  1 P 2.32, 4 Cu 2.38-2.56
Se 0.5230 0.2500 0.1270  1 P 2.32, 4 Cu 2.38-2.56
Se 0.6449 0.0676 0.6654  3 Cu 2.33-2.46, 1 P 2.35
Se 0.6449 0.4324 0.6654  3 Cu 2.33-2.46, 1 P 2.35
Se 0.8551 0.5676 0.1654  3 Cu 2.33-2.46, 1 P 2.35
Se 0.8551 0.9324 0.1654  3 Cu 2.33-2.46, 1 P 2.35
Se 0.9770 0.7500 0.6270  1 P 2.32, 4 Cu 2.38-2.56

Results
E_form (uncorrected)	-0.072	eV/atom



5.
VASP calculation (SCAN) on a crystal of W2SeO relaxed with PBEsol.

Lattice parameters (Å, degrees): 5.9266 5.9266 5.9266 90.00 90.00 90.00
Last column: nearest neighbours and their distance in Å.
Sites, in units of the cell vectors:
W 0.2500 0.2500 0.2500  4 O 2.57, 4 Se 2.57
W 0.2500 0.2500 0.7500  4 Se 2.57, 4 O 2.57
W 0.2500 0.7500 0.2500  4 Se 2.57, 4 O 2.57
W 0.2500 0.7500 0.7500  4 O 2.57, 4 Se 2.57
W 0.7500 0.2500 0.2500  4 Se 2.57, 4 O 2.57
W 0.7500 0.2500 0.7500  4 O 2.57, 4 Se 2.57
W 0.7500 0.7500 0.2500  4 O 2.57, 4 Se 2.57
W 0.7500 0.7500 0.7500  4 Se 2.57, 4 O 2.57
Se 0.0000 0.0000 0.0000  8 W 2.57
Se 0.0000 0.5000 0.5000  8 W 2.57
Se 0.5000 0.0000 0.5000  8 W 2.57
Se 0.5000 0.5000 0.0000  8 W 2.57
O 0.0000 0.0000 0.5000  8 W 2.57
O 0.0000 0.5000 0.0000  8 W 2.57
O 0.5000 0.0000 0.0000  8 W 2.57
O 0.5000 0.5000 0.5000  8 W 2.57

Results
E_form (uncorrected)	0.573	eV/atom



6.
VASP calculation (SCAN) on a crystal of ZrAg4Rh relaxed with PBEsol.

Lattice parameters (Å, degrees): 5.2432 5.2432 5.2432 60.00 60.00 60.00
Last column: nearest neighbours and their distance in Å.
Sites, in units of the cell vectors:
Zr 0.0000 0.0000 0.0000  12 Ag 3.07, 4 Rh 3.21
Ag 0.3753 0.3753 0.3753  6 Ag 2.62-2.63
Ag 0.3753 0.3753 0.8742  6 Ag 2.62-2.63
Ag 0.3753 0.8742 0.3753  6 Ag 2.62-2.63
Ag 0.8742 0.3753 0.3753  6 Ag 2.62-2.63
Rh 0.7500 0.7500 0.7500  12 Ag 3.07, 4 Zr 3.21

Results
DFT formation energy	82.4	meV per atom



7.
VASP calculation (SCAN) on a crystal of Mg2AgSe relaxed with PBEsol.

Lattice parameters (Å, degrees): 3.8762 3.8762 19.3188 90.00 90.00 120.00
Last column: nearest neighbours and their distance in Å.
Sites, in units of the cell vectors:
Mg 0.0000 0.0000 0.2481  3 Se 2.74, 3 Ag 2.78
Mg 0.0000 0.0000 0.7519  3 Se 2.74, 3 Ag 2.78
Mg 0.3333 0.6667 0.4185  3 Se 2.74, 3 Ag 2.78
Mg 0.3333 0.6667 0.9148  3 Se 2.74, 3 Ag 2.78
Mg 0.6667 0.3333 0.0852  3 Se 2.74, 3 Ag 2.78
Mg 0.6667 0.3333 0.5815  3 Se 2.74, 3 Ag 2.78
Ag 0.0000 0.0000 0.0000  6 Mg 2.78
Ag 0.3333 0.6667 0.6667  6 Mg 2.78
Ag 0.6667 0.3333 0.3333  6 Mg 2.78
Se 0.0000 0.0000 0.5000  6 Mg 2.74
Se 0.3333 0.6667 0.1667  6 Mg 2.74
Se 0.6667 0.3333 0.8333  6 Mg 2.74

Results
E_form (uncorrected)	-0.534	eV/atom



8.
VASP calculation (SCAN) on a crystal of SiTeAsN2 relaxed with PBEsol.

Lattice parameters (Å, degrees): 3.6120 3.6120 6.5742 90.00 90.00 90.00
Last column: nearest neighbours and their distance in Å.
Sites, in units of the cell vectors:
Si 0.0000 0.0000 0.0000  4 N 1.81
Te 0.0000 0.0000 0.5000  4 As 2.55
As 0.5000 0.5000 0.5000  4 Te 2.55
N 0.0000 0.5000 0.0000  2 Si 1.81
N 0.5000 0.0000 0.0000  2 Si 1.81

Results
E_form (uncorrected)	0.840	eV/atom



9.
VASP calculation (SCAN) on a crystal of ScCdSn relaxed with PBEsol.

Lattice parameters (Å, degrees): 4.2788 14.1081 4.2331 90.00 90.00 90.00
Last column: nearest neighbours and their distance in Å.
Sites, in units of the cell vectors:
Sc 0.0000 0.1600 0.0000  6 Sn 3.01-3.22, 4 Cd 3.09-3.11, 2 Sc 3.32
Sc 0.0000 0.8400 0.0000  6 Sn 3.01-3.22, 4 Cd 3.09-3.11, 2 Sc 3.32
Sc 0.5000 0.3400 0.0000  6 Sn 3.01-3.22, 4 Cd 3.09-3.11, 2 Sc 3.32
Sc 0.5000 0.6600 0.0000  6 Sn 3.01-3.22, 4 Cd 3.09-3.11, 2 Sc 3.32
Cd 0.0000 0.0000 0.5000  4 Cd 3.01, 4 Sc 3.09, 4 Sn 3.19
Cd 0.0000 0.5000 0.0000  4 Cd 3.01, 4 Sc 3.11, 4 Sn 3.18
Cd 0.5000 0.0000 0.0000  4 Cd 3.01, 4 Sc 3.11, 4 Sn 3.18
Cd 0.5000 0.5000 0.5000  4 Cd 3.01, 4 Sc 3.09, 4 Sn 3.19
Sn 0.0000 0.3322 0.5000  6 Sc 3.01-3.22, 2 Sn 3.16, 4 Cd 3.18-3.19
Sn 0.0000 0.6678 0.5000  6 Sc 3.01-3.22, 2 Sn 3.16, 4 Cd 3.18-3.19
Sn 0.5000 0.1678 0.5000  6 Sc 3.01-3.22, 2 Sn 3.16, 4 Cd 3.18-3.19
Sn 0.5000 0.8322 0.5000  6 Sc 3.01-3.22, 2 Sn 3.16, 4 Cd 3.18-3.19

Results
DFT formation energy	-493.1	meV per atom



10.
VASP calculation (SCAN) on a crystal of In9Pb4S17 relaxed with PBEsol.

Lattice parameters (Å, degrees): 15.2136 22.5473 3.8321 90.00 90.00 90.00
Last column: nearest neighbours and their distance in Å.
Sites, in units of the cell vectors:
In 0.0000 0.0000 0.0000  6 S 2.58-2.65
In 0.0502 0.4218 0.0000  6 S 2.58-2.74
In 0.0663 0.1363 0.5000  6 S 2.58-2.65
In 0.1666 0.2621 0.0000  6 S 2.53-2.81
In 0.2310 0.8906 0.5000  6 S 2.61-2.72
In 0.2690 0.3906 0.5000  6 S 2.61-2.72
In 0.3334 0.7621 0.0000  6 S 2.53-2.81
In 0.4337 0.6363 0.5000  6 S 2.58-2.65
In 0.4498 0.9218 0.0000  6 S 2.58-2.74
In 0.5000 0.5000 0.0000  6 S 2.58-2.65
In 0.5502 0.0782 0.0000  6 S 2.58-2.74
In 0.5663 0.3637 0.5000  6 S 2.58-2.65
In 0.6666 0.2379 0.0000  6 S 2.53-2.81
In 0.7310 0.6094 0.5000  6 S 2.61-2.72
In 0.7690 0.1094 0.5000  6 S 2.61-2.72
In 0.8334 0.7379 0.0000  6 S 2.53-2.81
In 0.9337 0.8637 0.5000  6 S 2.58-2.65
In 0.9498 0.5782 0.0000  6 S 2.58-2.74
Pb 0.0957 0.7225 0.5000  5 S 2.85-3.00
Pb 0.2065 0.5654 0.5000  7 S 2.87-3.11
Pb 0.2935 0.0654 0.5000  7 S 2.87-3.11
Pb 0.4043 0.2225 0.5000  5 S 2.85-3.00
Pb 0.5957 0.7775 0.5000  5 S 2.85-3.00
Pb 0.7065 0.9346 0.5000  7 S 2.87-3.11
Pb 0.7935 0.4346 0.5000  7 S 2.87-3.11
Pb 0.9043 0.2775 0.5000  5 S 2.85-3.00
S 0.0000 0.5000 0.5000  4 In 2.71
S 0.0191 0.2103 0.0000  3 In 2.53-2.64
S 0.0683 0.9334 0.5000  4 In 2.58-2.66
S 0.1022 0.6289 0.0000  1 In 2.58, 4 Pb 2.85-2.87
S 0.1046 0.3428 0.5000  5 In 2.72-2.81
S 0.1330 0.0707 0.0000  3 In 2.58-2.62
S 0.1890 0.8173 0.0000  3 In 2.53-2.61
S 0.2120 0.4604 0.0000  3 In 2.61-2.63
S 0.2189 0.1933 0.5000  3 In 2.59-2.65, 1 Pb 2.90
S 0.2811 0.6933 0.5000  3 In 2.59-2.65, 1 Pb 2.90
S 0.2880 0.9604 0.0000  3 In 2.61-2.63
S 0.3110 0.3173 0.0000  3 In 2.53-2.61
S 0.3670 0.5707 0.0000  3 In 2.58-2.62
S 0.3954 0.8428 0.5000  5 In 2.72-2.81
S 0.3978 0.1289 0.0000  1 In 2.58, 4 Pb 2.85-2.87
S 0.4317 0.4334 0.5000  4 In 2.58-2.66
S 0.4809 0.7103 0.0000  3 In 2.53-2.64
S 0.5000 0.0000 0.5000  4 In 2.71
S 0.5191 0.2897 0.0000  3 In 2.53-2.64
S 0.5683 0.5666 0.5000  4 In 2.58-2.66
S 0.6022 0.8711 0.0000  1 In 2.58, 4 Pb 2.85-2.87
S 0.6046 0.1572 0.5000  5 In 2.72-2.81
S 0.6330 0.4293 0.0000  3 In 2.58-2.62
S 0.6890 0.6827 0.0000  3 In 2.53-2.61
S 0.7120 0.0396 0.0000  3 In 2.61-2.63
S 0.7189 0.3067 0.5000  3 In 2.59-2.65, 1 Pb 2.90
S 0.7811 0.8067 0.5000  3 In 2.59-2.65, 1 Pb 2.90
S 0.7880 0.5396 0.0000  3 In 2.61-2.63
S 0.8110 0.1827 0.0000  3 In 2.53-2.61
S 0.8670 0.9293 0.0000  3 In 2.58-2.62
S 0.8954 0.6572 0.5000  5 In 2.72-2.81
S 0.8978 0.3711 0.0000  1 In 2.58, 4 Pb 2.85-2.87
S 0.9317 0.0666 0.5000  4 In 2.58-2.66
S 0.9809 0.7897 0.0000  3 In 2.53-2.64

Results
E_form (uncorrected)	-0.645	eV/atom